# 1
First-principles (GGA-PBE) data for a geometry-optimized Pm6Ge3Br structure, as listed in Alexandria.

Computed properties:
Energy relative to the elements, uncorrected (eV per formula unit): -6.892
V (Å³/cell): 607
Magnetic moment (μB/f.u.): 0.62
Density of states at the Fermi level (states/eV/f.u.): 10.74

```
20
Lattice="5.837 -7.149 0.000 5.837 7.149 0.000 0.000 0.000 7.276" Properties=species:S:1:pos:R:3 pbc="T T T"
Pm 5.837 7.023 3.638
Pm 3.829 3.275 3.989
Pm 5.837 3.652 0.974
Pm 3.864 0.525 0.701
Pm 3.864 -0.525 4.339
Pm 7.846 3.275 3.989
Pm 3.829 -3.275 0.351
Pm 7.811 0.525 0.701
Pm 7.811 -0.525 4.339
Pm 5.837 -3.652 4.612
Pm 7.846 -3.275 0.351
Pm 5.837 -7.023 0.000
Ge 2.060 1.510 5.638
Ge 2.060 -1.510 2.000
Ge 5.837 1.346 2.884
Ge 5.837 -1.346 6.522
Ge 9.615 1.510 5.638
Ge 9.615 -1.510 2.000
Br 5.837 4.793 5.541
Br 5.837 -4.793 1.903
```

# 2
First-principles (GGA-PBE) data for a geometry-optimized Pm2GeBr2 structure, as listed in Alexandria.

Computed properties:
Energy relative to the elements, uncorrected (eV per formula unit): -7.316
V (Å³/cell): 167
Magnetic moment (μB/f.u.): 0.00
Density of states at the Fermi level (states/eV/f.u.): 0.75

```
5
Lattice="2.133 1.232 10.584 -2.133 1.232 10.584 0.000 -2.463 10.584" Properties=species:S:1:pos:R:3 pbc="T T T"
Pm 0.000 0.000 3.634
Pm 0.000 0.000 28.119
Ge 0.000 0.000 15.877
Br 0.000 0.000 8.726
Br 0.000 0.000 23.027
```

# 3
First-principles (GGA-PBE) data for a geometry-optimized PmPrGeBr structure, as listed in Alexandria.

Computed properties:
Energy relative to the elements, uncorrected (eV per formula unit): -3.634
V (Å³/cell): 104
Magnetic moment (μB/f.u.): 0.00
Density of states at the Fermi level (states/eV/f.u.): 3.15
ΔE to the lowest computed polymorph (eV/f.u.): 0.00

```
4
Lattice="0.000 3.730 3.730 3.730 0.000 3.730 3.730 3.730 0.000" Properties=species:S:1:pos:R:3 pbc="T T T"
Pm 0.000 0.000 0.000
Pr 3.730 3.730 3.730
Ge 5.594 5.594 5.594
Br 1.865 1.865 1.865
```

# 4
First-principles (GGA-PBE) data for a geometry-optimized PmPrGeBr structure, as listed in Alexandria.

Computed properties:
Energy relative to the elements, uncorrected (eV per formula unit): -3.350
V (Å³/cell): 135
Magnetic moment (μB/f.u.): 0.00
Density of states at the Fermi level (states/eV/f.u.): 1.64
ΔE to the lowest computed polymorph (eV/f.u.): 0.28

```
4
Lattice="5.961 0.000 0.000 0.000 2.548 4.457 0.000 -2.548 4.457" Properties=species:S:1:pos:R:3 pbc="T T T"
Pm 0.000 0.000 0.000
Pr 2.980 0.000 2.955
Ge 0.000 0.000 2.958
Br 2.980 0.000 8.913
```